1.
Density functional theory data (PBE-GGA) for a relaxed MnSn2Te3 crystal.

```
24
Lattice="9.299 0.000 0.000 0.000 4.429 0.000 0.000 0.000 19.084" Properties=species:S:1:pos:R:3 pbc="T T T"
Mn 1.302 1.107 2.722
Mn 3.348 3.322 12.264
Mn 5.951 1.107 6.820
Mn 7.997 3.322 16.362
Sn 0.751 1.107 14.252
Sn 2.137 1.107 9.352
Sn 2.513 3.322 18.894
Sn 3.898 3.322 4.710
Sn 5.401 1.107 14.374
Sn 6.786 1.107 0.190
Sn 7.162 3.322 9.732
Sn 8.547 3.322 4.832
Te 0.057 1.107 17.268
Te 0.939 3.322 11.014
Te 1.887 1.107 5.359
Te 2.763 3.322 14.901
Te 3.711 1.107 1.472
Te 4.592 3.322 7.726
Te 4.706 1.107 11.358
Te 5.588 3.322 17.612
Te 6.536 1.107 4.183
Te 7.412 3.322 13.725
Te 8.360 1.107 8.070
Te 9.241 3.322 1.816
```

ρ (g/cm3): 5.71
N(E_F) (states/eV per atom): 0.030
Final energy (eV/atom): -4.5986
Formation energy without anion corrections (eV per formula unit): -1.0

***

2.
Density functional theory data (PBE-GGA) for a relaxed MnSi3C crystal.

```
5
Lattice="3.899 0.000 0.000 0.000 3.899 0.000 0.000 0.000 3.899" Properties=species:S:1:pos:R:3 pbc="T T T"
Mn 0.000 0.000 0.000
Si 0.000 1.949 1.949
Si 1.949 0.000 1.949
Si 1.949 1.949 0.000
C 1.949 1.949 1.949
```

Offset from the most stable computed form (meV/atom): 0.0
ρ (g/cm3): 4.24
N(E_F) (states/eV per atom): 1.408
Final energy (eV/atom): -5.9495
Formation energy without anion corrections (eV per formula unit): 4.9

***

3.
Density functional theory data (PBE-GGA) for a relaxed Ca2CoSeN crystal.

```
5
Lattice="4.801 0.000 0.000 0.000 4.801 0.000 0.000 0.000 4.304" Properties=species:S:1:pos:R:3 pbc="T T T"
Ca 0.000 2.401 0.000
Ca 2.401 0.000 0.000
Co 0.000 0.000 2.152
Se 2.401 2.401 2.152
N 2.401 2.401 0.000
```

Offset from the most stable computed form (meV/atom): 1006.7
ρ (g/cm3): 3.88
N(E_F) (states/eV per atom): 0.355
Final energy (eV/atom): -4.5943
Formation energy without anion corrections (eV per formula unit): -0.1

***

4.
Density functional theory data (PBE-GGA) for a relaxed Hf2GaTe6 crystal.

```
18
Lattice="6.833 0.000 0.000 0.000 6.833 0.000 0.000 0.000 12.436" Properties=species:S:1:pos:R:3 pbc="T T T"
Hf 0.000 0.000 1.969
Hf 0.000 0.000 10.467
Hf 3.416 3.416 4.249
Hf 3.416 3.416 8.187
Ga 0.000 0.000 6.218
Ga 3.416 3.416 0.000
Te 1.354 1.354 4.091
Te 1.354 1.354 8.345
Te 1.407 1.407 0.000
Te 2.009 4.824 6.218
Te 2.062 4.771 2.127
Te 2.062 4.771 10.310
Te 4.771 2.062 2.127
Te 4.771 2.062 10.310
Te 4.824 2.009 6.218
Te 5.426 5.426 0.000
Te 5.479 5.479 4.091
Te 5.479 5.479 8.345
```

ρ (g/cm3): 6.82
N(E_F) (states/eV per atom): 0.658
Final energy (eV/atom): -5.0707
Formation energy without anion corrections (eV per formula unit): -3.9

***

5.
Density functional theory data (PBE-GGA) for a relaxed Pm2SiSbPd6 crystal.

```
20
Lattice="5.572 0.000 0.000 0.000 8.767 0.000 0.000 0.000 8.507" Properties=species:S:1:pos:R:3 pbc="T T T"
Pm 1.393 0.021 2.058
Pm 1.393 4.362 2.058
Pm 4.179 4.405 6.449
Pm 4.179 8.746 6.449
Si 1.393 6.575 6.259
Si 4.179 2.192 2.248
Sb 1.393 2.192 6.640
Sb 4.179 6.575 1.867
Pd 0.010 2.192 4.229
Pd 0.026 6.575 8.186
Pd 1.393 4.399 5.168
Pd 1.393 8.751 5.168
Pd 2.759 6.575 8.186
Pd 2.776 2.192 4.229
Pd 2.796 6.575 4.278
Pd 2.812 2.192 0.321
Pd 4.179 0.016 3.339
Pd 4.179 4.368 3.339
Pd 5.545 2.192 0.321
Pd 5.562 6.575 4.278
```

ρ (g/cm3): 8.62
N(E_F) (states/eV per atom): 0.303
Final energy (eV/atom): -5.7672
Formation energy without anion corrections (eV per formula unit): -7.5

***

6.
Density functional theory data (PBE-GGA) for a relaxed Tb3Nd4Ir4 crystal.

```
11
Lattice="-1.900 4.403 8.337 1.900 -4.403 8.337 1.900 4.403 -8.337" Properties=species:S:1:pos:R:3 pbc="T T T"
Tb 0.000 0.000 0.000
Tb 1.900 0.000 6.730
Tb 0.000 4.403 1.607
Nd 1.900 1.654 -2.757
Nd 1.900 1.654 2.757
Nd 0.000 2.749 5.580
Nd 0.000 2.749 11.095
Ir 0.000 0.000 4.368
Ir 1.900 2.483 0.000
Ir 0.000 1.920 8.337
Ir 0.000 0.000 12.307
```

Energy of formation from the pure elements (meV/atom): -511
ρ (g/cm3): 10.85
N(E_F) (states/eV per atom): 0.720
Final energy (eV/atom): -6.7299

***

7.
Density functional theory data (PBE-GGA) for a relaxed CuMo3Au crystal.

```
5
Lattice="4.494 0.000 0.000 0.000 4.494 0.000 0.000 0.000 4.494" Properties=species:S:1:pos:R:3 pbc="T T T"
Cu 0.000 0.000 0.000
Mo 0.000 0.000 2.247
Mo 0.000 2.247 0.000
Mo 2.247 0.000 0.000
Au 2.247 2.247 2.247
```

Offset from the most stable computed form (meV/atom): 0.0
Energy of formation from the pure elements (meV/atom): 1483
ρ (g/cm3): 10.03
N(E_F) (states/eV per atom): 0.661
Final energy (eV/atom): -6.4899

***

8.
Density functional theory data (PBE-GGA) for a relaxed Pm2Al12Pd7 crystal.

```
21
Lattice="9.928 0.000 0.000 -4.964 8.598 0.000 0.000 0.000 4.228" Properties=species:S:1:pos:R:3 pbc="T T T"
Pm 0.000 0.000 0.000
Pm 0.000 5.732 2.114
Al -3.498 6.320 2.114
Al -0.407 3.336 0.000
Al -1.872 7.282 0.000
Al 1.240 2.409 2.114
Al 2.868 1.462 0.000
Al 4.761 1.119 2.114
Al 3.553 3.915 2.114
Al 2.278 6.578 0.000
Al 2.258 8.467 2.114
Al 4.796 5.384 0.000
Al 7.228 1.753 0.000
Al 6.578 3.564 2.114
Pd -2.589 4.814 0.000
Pd 2.425 0.049 2.114
Pd 2.089 3.949 0.000
Pd 0.500 8.433 0.000
Pd 4.964 2.866 0.000
Pd 3.794 6.474 2.114
Pd 8.673 2.075 2.114
```

Energy of formation from the pure elements (meV/atom): -780
ρ (g/cm3): 6.25
N(E_F) (states/eV per atom): 0.375
Final energy (eV/atom): -5.1021

***

9.
Density functional theory data (PBE-GGA) for a relaxed NdSmAlCd crystal.

```
4
Lattice="3.608 0.000 0.000 0.000 3.608 0.000 0.000 0.000 8.199" Properties=species:S:1:pos:R:3 pbc="T T T"
Nd 0.000 0.000 0.000
Sm 0.000 0.000 3.877
Al 1.804 1.804 1.968
Cd 1.804 1.804 5.994
```

Offset from the most stable computed form (meV/atom): 0.0
Energy of formation from the pure elements (meV/atom): -349
ρ (g/cm3): 6.75
N(E_F) (states/eV per atom): 0.522
Final energy (eV/atom): -3.8852

***

10.
Density functional theory data (PBE-GGA) for a relaxed InAsSN2 crystal.

```
5
Lattice="4.304 0.000 0.000 0.000 4.304 0.000 0.000 0.000 5.358" Properties=species:S:1:pos:R:3 pbc="T T T"
In 0.000 0.000 0.000
As 2.152 2.152 2.679
S 0.000 0.000 2.679
N 0.000 2.152 0.000
N 2.152 0.000 0.000
```

Offset from the most stable computed form (meV/atom): 615.6
ρ (g/cm3): 4.18
N(E_F) (states/eV per atom): 0.491
Final energy (eV/atom): -4.0289
Formation energy without anion corrections (eV per formula unit): 8.0

***

11.
Density functional theory data (PBE-GGA) for a relaxed Mn3C5 crystal.

```
8
Lattice="2.556 0.000 0.000 0.000 2.556 0.000 0.000 0.000 8.789" Properties=species:S:1:pos:R:3 pbc="T T T"
Mn 0.000 0.000 0.000
Mn 1.278 1.278 3.058
Mn 1.278 1.278 5.731
C 0.000 0.000 2.134
C 0.000 0.000 4.394
C 0.000 0.000 6.654
C 1.278 1.278 1.081
C 1.278 1.278 7.708
```

Offset from the most stable computed form (meV/atom): 447.3
Energy of formation from the pure elements (meV/atom): 1198
ρ (g/cm3): 6.50
N(E_F) (states/eV per atom): 0.464
Final energy (eV/atom): -8.0055